(1)
Here is Y2Te after structural relaxation from Alexandria. Energies are from PBE-GGA.

The formation energy from raw total energies is -33 kJ/mol of formula units. Its density of states at the Fermi level is 2.96 states/eV/f.u. As for the crystal system: cubic. Its raw total energy is -131.297 eV per cell.

It has space group Fd-3m (No. 227, origin choice 2), with a = 9.020 Å, b = 9.020 Å, c = 9.020 Å, α = 90.00°, β = 90.00° and γ = 90.00°. The inequivalent atoms are Y at (0.000, 0.000, 0.000) and Te at (0.125, 0.125, 0.625).

***

(2)
Here is Y2Te after structural relaxation from Alexandria. Energies are from PBE-GGA.

The formation energy from raw total energies is -238 kJ/mol of formula units. Its density of states at the Fermi level is 4.60 states/eV/f.u. As for the crystal system: orthorhombic. Its raw total energy is -74.153 eV per cell.

It has space group Cmcm (No. 63), with a = 4.021 Å, b = 15.562 Å, c = 6.047 Å, α = 90.00°, β = 90.00° and γ = 90.00°. The inequivalent atoms are Y at (0.000, 0.054, 0.250), Y at (0.000, 0.358, 0.250) and Te at (0.000, 0.297, 0.750).

***

(3)
Here is YTe3 after structural relaxation from Alexandria. Energies are from PBE-GGA.

The formation energy from raw total energies is -189 kJ/mol of formula units. Its density of states at the Fermi level is 2.17 states/eV/f.u. As for the crystal system: tetragonal. Its raw total energy is -17.851 eV per cell.

It has space group P4/mmm (No. 123), with a = 5.365 Å, b = 5.365 Å, c = 3.951 Å, α = 90.00°, β = 90.00° and γ = 90.00°. The inequivalent atoms are Y at (0.000, 0.000, 0.000), Te at (0.000, 0.500, 0.500) and Te at (0.500, 0.500, 0.000).

***

(4)
Here is YTe3 after structural relaxation from Alexandria. Energies are from PBE-GGA.

The formation energy from raw total energies is -358 kJ/mol of formula units. Its density of states at the Fermi level is 0.77 states/eV/f.u. As for the crystal system: orthorhombic. Its raw total energy is -78.390 eV per cell.

It has space group Cmcm (No. 63), with a = 4.328 Å, b = 26.972 Å, c = 4.326 Å, α = 90.00°, β = 90.00° and γ = 90.00°. The inequivalent atoms are Y at (0.000, 0.173, 0.250), Te at (0.000, 0.078, 0.750), Te at (0.000, 0.292, 0.250) and Te at (0.000, 0.422, 0.750).

***

What is the raw total energy in the fourth record? -78.390 eV per cell

***

Which of these has the lowest raw total energy? number 1

***

What did the first record say?
Here is Y2Te after structural relaxation from Alexandria. Energies are from PBE-GGA.

The formation energy from raw total energies is -33 kJ/mol of formula units. Its density of states at the Fermi level is 2.96 states/eV/f.u. As for the crystal system: cubic. Its raw total energy is -131.297 eV per cell.

It has space group Fd-3m (No. 227, origin choice 2), with a = 9.020 Å, b = 9.020 Å, c = 9.020 Å, α = 90.00°, β = 90.00° and γ = 90.00°. The inequivalent atoms are Y at (0.000, 0.000, 0.000) and Te at (0.125, 0.125, 0.625).